No. 1
PaH2O6: relaxed, PBE.

Properties
DOS at the Fermi energy = 0.57 states/eV/atom
magnetization = 5.50 μB per cell
electronic total energy = -6.59 eV per atom

a = 6.361 Å, b = 6.361 Å, c = 6.621 Å
α = 99.15°, β = 99.15°, γ = 90.27°
Element x y z (fractional)
Pa 0.108 0.892 0.750
Pa 0.892 0.108 0.250
H 0.049 0.351 0.672
H 0.351 0.049 0.172
H 0.649 0.951 0.828
H 0.951 0.649 0.328
O 0.036 0.192 0.604
O 0.071 0.587 0.757
O 0.192 0.036 0.104
O 0.411 0.506 0.450
O 0.413 0.929 0.743
O 0.494 0.589 0.050
O 0.506 0.411 0.950
O 0.587 0.071 0.257
O 0.589 0.494 0.550
O 0.808 0.964 0.896
O 0.929 0.413 0.243
O 0.964 0.808 0.396

***

No. 2
PaHO: relaxed, PBE.

Properties
DOS at the Fermi energy = 0.66 states/eV/atom
magnetization = 0.00 μB per cell
electronic total energy = -7.55 eV per atom

a = 3.816 Å, b = 3.816 Å, c = 3.596 Å
α = 90.00°, β = 90.00°, γ = 120.00°
Element x y z (fractional)
Pa 0.000 0.000 0.000
H 0.667 0.333 0.865
O 0.333 0.667 0.054

***

No. 3
Pa4H3O8: relaxed, PBE.

Properties
DOS at the Fermi energy = 0.49 states/eV/atom
magnetization = 1.85 μB per cell
electronic total energy = -8.58 eV per atom

a = 7.705 Å, b = 7.705 Å, c = 7.705 Å
α = 60.00°, β = 60.00°, γ = 60.00°
Element x y z (fractional)
Pa 0.000 0.000 0.000
Pa 0.000 0.000 0.500
Pa 0.000 0.500 0.000
Pa 0.000 0.500 0.500
Pa 0.500 0.000 0.000
Pa 0.500 0.000 0.500
Pa 0.500 0.500 0.000
Pa 0.500 0.500 0.500
H 0.231 0.231 0.769
H 0.231 0.769 0.231
H 0.231 0.769 0.769
H 0.769 0.231 0.231
H 0.769 0.231 0.769
H 0.769 0.769 0.231
O 0.125 0.625 0.625
O 0.135 0.135 0.135
O 0.135 0.135 0.596
O 0.135 0.596 0.135
O 0.375 0.375 0.375
O 0.375 0.375 0.875
O 0.375 0.875 0.375
O 0.404 0.865 0.865
O 0.596 0.135 0.135
O 0.625 0.125 0.625
O 0.625 0.625 0.125
O 0.625 0.625 0.625
O 0.865 0.404 0.865
O 0.865 0.865 0.404
O 0.865 0.865 0.865
O 0.875 0.375 0.375